No. 1
The following is a PBE calculation of a relaxed structure of V2ReB, from Alexandria.

Cell and atoms, written as POSCAR:
```
V2ReB
1.0
6.873 0.000 0.000
0.000 6.873 0.000
0.000 0.000 4.346
V Re B
8 4 4
Cartesian
1.059 1.718 0.543
1.718 4.495 1.630
1.718 5.814 3.803
2.378 1.718 2.716
4.495 5.154 2.716
5.154 1.059 3.803
5.154 2.378 1.630
5.814 5.154 0.543
0.000 0.000 2.173
0.000 3.436 3.260
3.436 0.000 1.087
3.436 3.436 0.000
0.000 0.000 0.000
0.000 3.436 1.087
3.436 0.000 3.260
3.436 3.436 2.173
```

## Properties
E: -9.17 eV per atom
formation enthalpy at 0 K: 0.172 eV per atom
Fermi-level density of states: 3.4 states/eV/f.u.



No. 2
The following is a PBE calculation of a relaxed structure of VReB2, from Alexandria.

Cell and atoms, written as POSCAR:
```
VReB2
1.0
3.082 0.000 0.000
0.000 3.010 0.000
-1.551 0.000 4.127
V Re B
1 1 2
Cartesian
0.000 0.000 0.000
-0.001 1.505 2.387
1.537 1.505 0.608
1.542 0.000 1.634
```

## Properties
E: -9.30 eV per atom
polymorph energy (0 for the lowest one): 0.0000 eV per atom
formation enthalpy at 0 K: -0.568 eV per atom
Fermi-level density of states: 2.1 states/eV/f.u.



No. 3
The following is a PBE calculation of a relaxed structure of V5ReB2, from Alexandria.

Cell and atoms, written as POSCAR:
```
V5ReB2
1.0
3.088 0.000 0.000
0.000 7.146 0.000
0.000 0.000 8.381
V Re B
10 2 4
Cartesian
0.000 0.000 0.000
0.000 2.227 2.854
0.000 2.227 5.527
0.000 4.920 2.854
0.000 4.920 5.527
1.544 1.346 1.337
1.544 1.346 7.044
1.544 3.573 4.191
1.544 5.800 1.337
1.544 5.800 7.044
0.000 3.573 0.000
1.544 0.000 4.191
0.000 0.000 2.394
0.000 0.000 5.988
1.544 3.573 1.797
1.544 3.573 6.584
```

## Properties
E: -9.10 eV per atom
formation enthalpy at 0 K: -0.178 eV per atom
Fermi-level density of states: 4.7 states/eV/f.u.



No. 4
The following is a PBE calculation of a relaxed structure of VReB3, from Alexandria.

Cell and atoms, written as POSCAR:
```
VReB3
1.0
1.625 -9.217 0.000
1.625 9.217 0.000
0.000 0.000 2.976
V Re B
2 2 6
Cartesian
1.625 5.476 2.232
1.625 -5.476 0.744
1.625 7.809 0.744
1.625 -7.809 2.232
1.625 3.203 2.232
1.625 2.219 0.744
1.625 0.441 0.744
1.625 -0.441 2.232
1.625 -2.219 2.232
1.625 -3.203 0.744
```

## Properties
E: -8.59 eV per atom
polymorph energy (0 for the lowest one): 0.0000 eV per atom
formation enthalpy at 0 K: -0.271 eV per atom
Fermi-level density of states: 1.9 states/eV/f.u.



No. 5
The following is a PBE calculation of a relaxed structure of VReB3, from Alexandria.

Cell and atoms, written as POSCAR:
```
VReB3
1.0
3.781 0.000 0.000
0.000 3.781 0.000
0.000 0.000 3.781
V Re B
1 1 3
Cartesian
0.000 0.000 0.000
1.891 1.891 1.891
0.000 0.000 1.891
0.000 1.891 0.000
1.891 0.000 0.000
```

## Properties
E: -6.86 eV per atom
polymorph energy (0 for the lowest one): 1.7311 eV per atom
formation enthalpy at 0 K: 1.460 eV per atom
Fermi-level density of states: 2.9 states/eV/f.u.



No. 6
The following is a PBE calculation of a relaxed structure of VReB2, from Alexandria.

Cell and atoms, written as POSCAR:
```
VReB2
1.0
5.418 0.000 0.000
0.000 5.418 0.000
0.000 0.000 5.418
V Re B
4 4 8
Cartesian
0.000 0.000 0.000
0.000 2.709 2.709
2.709 0.000 2.709
2.709 2.709 0.000
0.000 0.000 2.709
0.000 2.709 0.000
2.709 0.000 0.000
2.709 2.709 2.709
1.355 1.355 1.355
1.355 1.355 4.064
1.355 4.064 1.355
1.355 4.064 4.064
4.064 1.355 1.355
4.064 1.355 4.064
4.064 4.064 1.355
4.064 4.064 4.064
```

## Properties
E: -8.64 eV per atom
polymorph energy (0 for the lowest one): 0.6621 eV per atom
formation enthalpy at 0 K: 0.094 eV per atom
Fermi-level density of states: 3.5 states/eV/f.u.



No. 7
The following is a PBE calculation of a relaxed structure of Re4B2W, from Alexandria.

Cell and atoms, written as POSCAR:
```
Re4B2W
1.0
5.007 0.000 0.000
-0.655 6.079 0.000
-0.347 -2.324 5.887
Re B W
8 4 2
Cartesian
-0.097 0.695 2.279
0.560 4.492 1.438
0.978 -1.678 5.752
1.575 3.037 3.430
2.429 0.719 2.457
3.026 5.433 0.134
3.444 -0.737 4.449
4.101 3.060 3.607
0.957 -0.930 3.616
0.885 2.332 1.207
3.120 1.423 4.680
3.047 4.685 2.271
0.688 0.991 4.963
3.317 2.764 0.924
```

## Properties
E: -10.84 eV per atom
polymorph energy (0 for the lowest one): 0.0000 eV per atom
formation enthalpy at 0 K: 0.030 eV per atom
Fermi-level density of states: 4.1 states/eV/f.u.



No. 8
The following is a PBE calculation of a relaxed structure of ReB2W2, from Alexandria.

Cell and atoms, written as POSCAR:
```
ReB2W2
1.0
2.386 -5.842 0.000
2.386 5.842 0.000
0.000 0.000 4.653
Re B W
2 4 4
Cartesian
0.000 0.000 0.000
0.000 0.000 2.327
1.514 1.191 3.490
1.514 -1.191 1.163
3.259 1.191 3.490
3.259 -1.191 1.163
2.386 3.241 3.490
2.386 1.064 1.163
2.386 -1.064 3.490
2.386 -3.241 1.163
```

## Properties
E: -9.93 eV per atom
polymorph energy (0 for the lowest one): 0.6479 eV per atom
formation enthalpy at 0 K: 0.409 eV per atom
Fermi-level density of states: 3.9 states/eV/f.u.



Copy entry 7 word for word.
The following is a PBE calculation of a relaxed structure of Re4B2W, from Alexandria.

Cell and atoms, written as POSCAR:
```
Re4B2W
1.0
5.007 0.000 0.000
-0.655 6.079 0.000
-0.347 -2.324 5.887
Re B W
8 4 2
Cartesian
-0.097 0.695 2.279
0.560 4.492 1.438
0.978 -1.678 5.752
1.575 3.037 3.430
2.429 0.719 2.457
3.026 5.433 0.134
3.444 -0.737 4.449
4.101 3.060 3.607
0.957 -0.930 3.616
0.885 2.332 1.207
3.120 1.423 4.680
3.047 4.685 2.271
0.688 0.991 4.963
3.317 2.764 0.924
```

## Properties
E: -10.84 eV per atom
polymorph energy (0 for the lowest one): 0.0000 eV per atom
formation enthalpy at 0 K: 0.030 eV per atom
Fermi-level density of states: 4.1 states/eV/f.u.